The following is a PBE calculation of a geometry-optimized Li2ScP structure, from the Alexandria database.

Calculated values
Formation energy = -0.469 eV per atom
DOS at the Fermi energy = 0.67 states/eV per atom

Lattice parameters (Å, degrees): 3.744 3.744 20.075 90.00 90.00 90.00
Space group I-42d (No. 122)
One atom of each set of equivalent atoms:
Li (0.206, 0.750, 0.125) (multiplicity 8)
Sc (0.000, 0.000, 0.500) (multiplicity 4)
P (0.000, 0.000, 0.000) (multiplicity 4)



The following is a PBE calculation of a geometry-optimized LiSc2P2 structure, from the Alexandria database.

Calculated values
Formation energy = -1.084 eV per atom
Offset from the most stable computed form = 0 meV per atom
DOS at the Fermi energy = 0.63 states/eV per atom

Lattice parameters (Å, degrees): 7.013 7.013 3.537 90.00 90.00 90.00
Space group P4/mbm (No. 127)
One atom of each set of equivalent atoms:
Li (0.000, 0.000, 0.000) (multiplicity 2)
Sc (0.153, 0.347, 0.500) (multiplicity 4)
P (0.156, 0.656, 0.000) (multiplicity 4)



The following is a PBE calculation of a geometry-optimized Li2ScP structure, from the Alexandria database.

Calculated values
Formation energy = -0.506 eV per atom
DOS at the Fermi energy = 0.49 states/eV per atom

Lattice parameters (Å, degrees): 3.321 4.047 11.315 90.00 90.00 90.00
Space group Immm (No. 71)
One atom of each set of equivalent atoms:
Li (0.000, 0.000, 0.194) (multiplicity 4)
Sc (0.000, 0.500, 0.000) (multiplicity 2)
P (0.000, 0.500, 0.500) (multiplicity 2)



The following is a PBE calculation of a geometry-optimized Li2ScP structure, from the Alexandria database.

Calculated values
Formation energy = -0.112 eV per atom
DOS at the Fermi energy = 0.91 states/eV per atom

Lattice parameters (Å, degrees): 5.275 9.175 2.989 90.00 90.00 90.00
Space group Cmmm (No. 65)
One atom of each set of equivalent atoms:
Li (0.250, 0.250, 0.000) (multiplicity 4)
Sc (0.000, 0.000, 0.500) (multiplicity 2)
P (0.000, 0.500, 0.500) (multiplicity 2)



The following is a PBE calculation of a geometry-optimized Li2ScP structure, from the Alexandria database.

Calculated values
Formation energy = -0.573 eV per atom
DOS at the Fermi energy = 0.75 states/eV per atom

Lattice parameters (Å, degrees): 13.582 3.640 3.639 90.00 105.42 90.00
Space group C2/m (No. 12)
One atom of each set of equivalent atoms:
Li (0.185, 0.000, 0.186) (multiplicity 4)
Sc (0.000, 0.500, 0.500) (multiplicity 2)
P (0.000, 0.000, 0.000) (multiplicity 2)



The following is a PBE calculation of a geometry-optimized LiScP4 structure, from the Alexandria database.

Calculated values
Formation energy = -0.048 eV per atom
DOS at the Fermi energy = 1.05 states/eV per atom

Lattice parameters (Å, degrees): 7.251 7.251 7.251 90.00 90.00 90.00
Space group F-43m (No. 216)
One atom of each set of equivalent atoms:
Li (0.000, 0.000, 0.000) (multiplicity 4)
Sc (0.250, 0.250, 0.250) (multiplicity 4)
P (0.128, 0.128, 0.628) (multiplicity 16)



The following is a PBE calculation of a geometry-optimized Li2ScP2 structure, from the Alexandria database.

Calculated values
Formation energy = -0.753 eV per atom
DOS at the Fermi energy = 0.62 states/eV per atom

Lattice parameters (Å, degrees): 3.728 3.728 10.839 90.00 90.00 90.00
Space group I4/mmm (No. 139)
One atom of each set of equivalent atoms:
Li (0.000, 0.500, 0.250) (multiplicity 4)
Sc (0.000, 0.000, 0.000) (multiplicity 2)
P (0.000, 0.000, 0.396) (multiplicity 4)



The following is a PBE calculation of a geometry-optimized Li2ScP structure, from the Alexandria database.

Calculated values
Formation energy = -0.477 eV per atom
DOS at the Fermi energy = 0.24 states/eV per atom

Lattice parameters (Å, degrees): 3.522 3.522 6.168 90.00 90.00 90.00
Space group P4mm (No. 99)
One atom of each set of equivalent atoms:
Li (0.000, 0.000, 0.000) (multiplicity 1)
Li (0.500, 0.500, 0.237) (multiplicity 1)
Sc (0.500, 0.500, 0.682) (multiplicity 1)
P (0.000, 0.000, 0.543) (multiplicity 1)



The following is a PBE calculation of a geometry-optimized Li2ScP structure, from the Alexandria database.

Calculated values
Formation energy = -0.643 eV per atom
DOS at the Fermi energy = 0.22 states/eV per atom

Lattice parameters (Å, degrees): 3.796 3.796 4.546 90.00 90.00 90.00
Space group P4/mmm (No. 123)
One atom of each set of equivalent atoms:
Li (0.000, 0.500, 0.000) (multiplicity 2)
Sc (0.000, 0.000, 0.500) (multiplicity 1)
P (0.500, 0.500, 0.500) (multiplicity 1)



The following is a PBE calculation of a geometry-optimized LiSc4P structure, from the Alexandria database.

Calculated values
Formation energy = 0.392 eV per atom
DOS at the Fermi energy = 1.45 states/eV per atom

Lattice parameters (Å, degrees): 8.185 8.185 8.185 90.00 90.00 90.00
Space group F-43m (No. 216)
One atom of each set of equivalent atoms:
Li (0.000, 0.000, 0.000) (multiplicity 4)
Sc (0.125, 0.125, 0.375) (multiplicity 16)
P (0.250, 0.250, 0.750) (multiplicity 4)



The following is a PBE calculation of a geometry-optimized Li2ScP structure, from the Alexandria database.

Calculated values
Formation energy = -0.091 eV per atom
DOS at the Fermi energy = 0.58 states/eV per atom

Lattice parameters (Å, degrees): 3.036 3.036 7.517 90.00 90.00 90.00
Space group P4/mmm (No. 123)
One atom of each set of equivalent atoms:
Li (0.000, 0.000, 0.183) (multiplicity 2)
Sc (0.500, 0.500, 0.500) (multiplicity 1)
P (0.500, 0.500, 0.000) (multiplicity 1)



The following is a PBE calculation of a geometry-optimized LiScP3 structure, from the Alexandria database.

Calculated values
Formation energy = 0.174 eV per atom
Offset from the most stable computed form = 3 meV per atom
DOS at the Fermi energy = 0.59 states/eV per atom

Lattice parameters (Å, degrees): 4.364 4.364 4.364 90.00 90.00 90.00
Space group Pm-3m (No. 221)
One atom of each set of equivalent atoms:
Li (0.000, 0.000, 0.000) (multiplicity 1)
Sc (0.500, 0.500, 0.500) (multiplicity 1)
P (0.000, 0.000, 0.500) (multiplicity 3)



The following is a PBE calculation of a geometry-optimized Li2ScP structure, from the Alexandria database.

Calculated values
Formation energy = 0.013 eV per atom
DOS at the Fermi energy = 1.01 states/eV per atom

Lattice parameters (Å, degrees): 3.0349 3.0349 27.8934 90.00 90.00 120.00
Space group R-3m (No. 166, hexagonal axes)
One atom of each set of equivalent atoms:
Li (0.0000, 0.0000, 0.2315) (multiplicity 6)
Sc (0.0000, 0.0000, 0.0000) (multiplicity 3)
P (0.0000, 0.0000, 0.5000) (multiplicity 3)



The following is a PBE calculation of a geometry-optimized LiSc2P2 structure, from the Alexandria database.

Calculated values
Formation energy = -0.811 eV per atom
Offset from the most stable computed form = 273 meV per atom
DOS at the Fermi energy = 0.74 states/eV per atom

Lattice parameters (Å, degrees): 7.328 7.328 3.348 90.00 90.00 90.00
Space group P4/mbm (No. 127)
One atom of each set of equivalent atoms:
Li (0.000, 0.000, 0.000) (multiplicity 2)
Sc (0.141, 0.359, 0.000) (multiplicity 4)
P (0.164, 0.664, 0.500) (multiplicity 4)



The following is a PBE calculation of a geometry-optimized Li2ScP2 structure, from the Alexandria database.

Calculated values
Formation energy = -0.578 eV per atom
DOS at the Fermi energy = 0.37 states/eV per atom

Lattice parameters (Å, degrees): 7.336 7.336 2.954 90.00 90.00 90.00
Space group P4/mbm (No. 127)
One atom of each set of equivalent atoms:
Li (0.120, 0.380, 0.000) (multiplicity 4)
Sc (0.000, 0.000, 0.500) (multiplicity 2)
P (0.179, 0.679, 0.500) (multiplicity 4)



The following is a PBE calculation of a geometry-optimized Li2ScP structure, from the Alexandria database.

Calculated values
Formation energy = -0.296 eV per atom
DOS at the Fermi energy = 0.45 states/eV per atom

Lattice parameters (Å, degrees): 3.643 3.643 5.283 90.00 90.00 90.00
Space group P4/mmm (No. 123)
One atom of each set of equivalent atoms:
Li (0.000, 0.000, 0.205) (multiplicity 2)
Sc (0.500, 0.500, 0.500) (multiplicity 1)
P (0.500, 0.500, 0.000) (multiplicity 1)



The following is a PBE calculation of a geometry-optimized Li2ScSiP structure, from the Alexandria database.

Calculated values
DOS at the Fermi energy = 0.51 states/eV per atom
Formation energy (no corrections) = 0.5 kJ per mole of atoms

Lattice parameters (Å, degrees): 4.315 4.315 4.917 90.00 90.00 90.00
Space group P4/mmm (No. 123)
One atom of each set of equivalent atoms:
Li (0.000, 0.500, 0.000) (multiplicity 2)
Sc (0.000, 0.000, 0.500) (multiplicity 1)
Si (0.500, 0.500, 0.500) (multiplicity 1)
P (0.500, 0.500, 0.000) (multiplicity 1)



The following is a PBE calculation of a geometry-optimized Li2YScP structure, from the Alexandria database.

Calculated values
Formation energy = -0.230 eV per atom
DOS at the Fermi energy = 0.83 states/eV per atom

Lattice parameters (Å, degrees): 4.723 4.723 5.025 90.00 90.00 90.00
Space group P4/mmm (No. 123)
One atom of each set of equivalent atoms:
Li (0.000, 0.500, 0.000) (multiplicity 2)
Y (0.000, 0.000, 0.500) (multiplicity 1)
Sc (0.500, 0.500, 0.500) (multiplicity 1)
P (0.500, 0.500, 0.000) (multiplicity 1)



The following is a PBE calculation of a geometry-optimized Li2PSe structure, from the Alexandria database.

Calculated values
Offset from the most stable computed form = 71 meV per atom
DOS at the Fermi energy = 0.21 states/eV per atom
Formation energy (no corrections) = -47.2 kJ per mole of atoms

Lattice parameters (Å, degrees): 3.949 4.147 7.693 90.00 90.00 90.00
Space group Immm (No. 71)
One atom of each set of equivalent atoms:
Li (0.000, 0.000, 0.248) (multiplicity 4)
P (0.000, 0.500, 0.500) (multiplicity 2)
Se (0.000, 0.500, 0.000) (multiplicity 2)



The following is a PBE calculation of a geometry-optimized Li2PSe structure, from the Alexandria database.

Calculated values
Offset from the most stable computed form = 71 meV per atom
DOS at the Fermi energy = 0.29 states/eV per atom
Formation energy (no corrections) = -47.1 kJ per mole of atoms

Lattice parameters (Å, degrees): 8.166 3.514 4.589 90.00 105.78 90.00
Space group C2/m (No. 12)
One atom of each set of equivalent atoms:
Li (0.247, 0.000, 0.235) (multiplicity 4)
P (0.000, 0.500, 0.000) (multiplicity 2)
Se (0.000, 0.000, 0.500) (multiplicity 2)



The following is a PBE calculation of a geometry-optimized Li2PSe structure, from the Alexandria database.

Calculated values
Offset from the most stable computed form = 205 meV per atom
DOS at the Fermi energy = 0.59 states/eV per atom
Formation energy (no corrections) = -34.2 kJ per mole of atoms

Lattice parameters (Å, degrees): 7.179 7.179 5.211 90.00 90.00 90.00
Space group I-42d (No. 122)
One atom of each set of equivalent atoms:
Li (0.249, 0.250, 0.125) (multiplicity 8)
P (0.000, 0.000, 0.500) (multiplicity 4)
Se (0.000, 0.000, 0.000) (multiplicity 4)



The following is a PBE calculation of a geometry-optimized LiP2Se structure, from the Alexandria database.

Calculated values
DOS at the Fermi energy = 0.28 states/eV per atom
Formation energy (no corrections) = 17.4 kJ per mole of atoms

Lattice parameters (Å, degrees): 3.4804 3.4804 6.8030 90.00 90.00 120.00
Space group P-3m1 (No. 164)
One atom of each set of equivalent atoms:
Li (0.0000, 0.0000, 0.0000) (multiplicity 1)
P (0.3333, 0.6667, 0.7358) (multiplicity 2)
Se (0.0000, 0.0000, 0.5000) (multiplicity 1)



The following is a PBE calculation of a geometry-optimized Li3PSe structure, from the Alexandria database.

Calculated values
Offset from the most stable computed form = 0 meV per atom
DOS at the Fermi energy = 0.40 states/eV per atom
Formation energy (no corrections) = -34.3 kJ per mole of atoms

Lattice parameters (Å, degrees): 4.770 4.770 4.770 90.00 90.00 90.00
Space group Pm-3m (No. 221)
One atom of each set of equivalent atoms:
Li (0.000, 0.000, 0.500) (multiplicity 3)
P (0.500, 0.500, 0.500) (multiplicity 1)
Se (0.000, 0.000, 0.000) (multiplicity 1)



The following is a PBE calculation of a geometry-optimized Li2PSe structure, from the Alexandria database.

Calculated values
Offset from the most stable computed form = 195 meV per atom
DOS at the Fermi energy = 0.46 states/eV per atom
Formation energy (no corrections) = -35.2 kJ per mole of atoms

Lattice parameters (Å, degrees): 6.352 6.352 6.352 90.00 90.00 90.00
Space group Fm-3m (No. 225)
One atom of each set of equivalent atoms:
Li (0.250, 0.250, 0.250) (multiplicity 8)
P (0.000, 0.000, 0.000) (multiplicity 4)
Se (0.000, 0.000, 0.500) (multiplicity 4)



The following is a PBE calculation of a geometry-optimized LiP4Se structure, from the Alexandria database.

Calculated values
DOS at the Fermi energy = 0.82 states/eV per atom
Formation energy (no corrections) = 19.9 kJ per mole of atoms

Lattice parameters (Å, degrees): 8.052 8.052 8.052 90.00 90.00 90.00
Space group F-43m (No. 216)
One atom of each set of equivalent atoms:
Li (0.000, 0.000, 0.000) (multiplicity 4)
P (0.098, 0.098, 0.598) (multiplicity 16)
Se (0.250, 0.250, 0.250) (multiplicity 4)



The following is a PBE calculation of a geometry-optimized Li2PSe4 structure, from the Alexandria database.

Calculated values
Offset from the most stable computed form = 53 meV per atom
DOS at the Fermi energy = 0.18 states/eV per atom
Formation energy (no corrections) = -35.1 kJ per mole of atoms

Lattice parameters (Å, degrees): 10.890 14.084 8.220 90.00 90.00 90.00
Space group Ccce (No. 68, origin choice 2)
One atom of each set of equivalent atoms:
Li (0.000, 0.023, 0.250) (multiplicity 8)
Li (0.159, 0.250, 0.750) (multiplicity 8)
P (0.250, 0.000, 0.127) (multiplicity 8)
Se (0.069, 0.116, 0.528) (multiplicity 16)
Se (0.177, 0.132, 0.996) (multiplicity 16)



The following is a PBE calculation of a geometry-optimized LiP2Se structure, from the Alexandria database.

Calculated values
DOS at the Fermi energy = 0.67 states/eV per atom
Formation energy (no corrections) = -16.6 kJ per mole of atoms

Lattice parameters (Å, degrees): 3.2814 3.2814 25.8786 90.00 90.00 120.00
Space group R3m (No. 160, hexagonal axes)
One atom of each set of equivalent atoms:
Li (0.0000, 0.0000, 0.0000) (multiplicity 3)
P (0.0000, 0.0000, 0.4714) (multiplicity 3)
P (0.0000, 0.0000, 0.7573) (multiplicity 3)
Se (0.0000, 0.0000, 0.2672) (multiplicity 3)